Entry 1:
Computed, not measured: an optimized crystal structure of ZrAg2Sb at the PBE level of DFT.

```
ZrAg2Sb
1.0
1.603 0.926 9.677
-1.603 0.926 9.677
0.000 -1.851 9.677
Zr Ag Sb
1 2 1
Direct
0.000 0.000 0.000
0.493 0.493 0.493
0.749 0.749 0.749
0.249 0.249 0.249
```

Values from the calculation:
E_tot = -4.567 eV/atom
Space group = R3m
Uncorrected formation energy = 0.03 eV per atom

Entry 2:
Computed, not measured: an optimized crystal structure of Ca2Sn3Pd4 at the PBE level of DFT.

```
Ca2Sn3Pd4
1.0
3.099 -8.293 0.000
3.099 8.293 0.000
0.000 0.000 7.429
Ca Sn Pd
4 6 8
Direct
0.099 0.901 0.911
0.401 0.599 0.411
0.599 0.401 0.589
0.901 0.099 0.089
0.000 0.000 0.500
0.011 0.489 0.750
0.489 0.011 0.250
0.500 0.500 0.000
0.511 0.989 0.750
0.989 0.511 0.250
0.168 0.832 0.519
0.177 0.323 0.750
0.323 0.177 0.250
0.332 0.668 0.019
0.668 0.332 0.981
0.677 0.823 0.750
0.823 0.677 0.250
0.832 0.168 0.481
```

Values from the calculation:
E_tot = -4.806 eV/atom
Space group = Cmce

Entry 3:
Computed, not measured: an optimized crystal structure of SmGaAgSn at the PBE level of DFT.

```
SmGaAgSn
1.0
0.000 3.579 3.579
3.579 0.000 3.579
3.579 3.579 0.000
Sm Ga Ag Sn
1 1 1 1
Direct
0.000 0.000 0.000
0.250 0.250 0.250
0.750 0.750 0.750
0.500 0.500 0.500
```

Values from the calculation:
E_tot = -3.955 eV/atom
Space group = F-43m